The following is a DFT calculation (PBE-GGA) of crystalline AsIrAuC2 at its relaxed geometry.

- V: 16.23 Å³/atom
- M_tot: 0.0 Bohr magnetons per cell
- Energy above the lowest structure with this stoichiometry: 72 meV per atom
- SG: P1

Unit cell a=2.979 b=4.127 c=7.112 alpha=94.82 beta=89.92 gamma=111.28
Atoms (fractional coordinates):
Ir  0.886  0.210  0.507
As  0.599  0.642  0.288
C  0.105  0.650  0.696
C  0.258  0.957  0.617
Au  0.100  0.640  0.986